Entry 1:
This record from the Alexandria database describes Pm3Y4Cd after structural relaxation. The functional is PBE.

Cell: 3.620 3.620 19.331 Å, 90.00 90.00 90.00°
Positions (direct):
Cd  0.500  0.500  0.000
Y  0.000  0.000  0.105
Pm  0.500  0.500  0.764
Y  0.000  0.000  0.632
Y  0.000  0.000  0.368
Pm  0.500  0.500  0.500
Y  0.000  0.000  0.895
Pm  0.500  0.500  0.236

Energy relative to the elements (meV per atom): -74.5
N(E_F) (states/eV/f.u.): 10.3
Mass density (g/cm3): 5.9
Total moment (μB/f.u.): 0.000

Entry 2:
This record from the Alexandria database describes Al2TlGe2 after structural relaxation. The functional is PBE.

Cell: 8.274 8.274 3.018 Å, 90.00 90.00 90.00°
Positions (direct):
Al  0.640  0.140  0.000
Al  0.860  0.640  0.000
Al  0.360  0.860  0.000
Ge  0.148  0.648  0.500
Ge  0.352  0.148  0.500
Ge  0.648  0.852  0.500
Tl  0.500  0.500  0.000
Al  0.140  0.360  0.000
Ge  0.852  0.352  0.500
Tl  0.000  0.000  0.000

Energy relative to the elements (meV per atom): 177.7
N(E_F) (states/eV/f.u.): 2.2
Mass density (g/cm3): 6.5
Total moment (μB/f.u.): 0.000